No. 1
## Tb2Tm2In (GGA-PBE)

Data for an optimized crystal structure of Tb2Tm2In.

Values from the calculation:
Magnetization, Bohr magnetons per cell: 0.000
DFT formation energy, kcal/mol of atoms: 1.2
Space group: No. 127
Calculated volume, A^3/atom: 30.48
E above lowest polymorph, meV/atom: 0

Geometry as POSCAR:
```
Tb2Tm2In
1.0
-3.216 2.529 -1.979
-4.281 0.019 6.981
3.893 6.804 2.369
Tb Tm In
4 4 2
direct
0.000 0.852 0.648 Tb
0.000 0.352 0.852 Tb
0.000 0.648 0.148 Tb
0.000 0.148 0.352 Tb
0.500 0.652 0.848 Tm
0.500 0.152 0.652 Tm
0.500 0.848 0.348 Tm
0.500 0.348 0.152 Tm
0.000 0.500 0.500 In
0.000 0.000 0.000 In
```

No. 2
## Tb2TmIn (GGA-PBE)

Data for an optimized crystal structure of Tb2TmIn.

Values from the calculation:
Magnetization, Bohr magnetons per cell: 0.000
DFT formation energy, kcal/mol of atoms: -5.1
Space group: No. 123
Calculated volume, A^3/atom: 29.39
E above lowest polymorph, meV/atom: 44

Geometry as POSCAR:
```
Tb2TmIn
1.0
-3.067 -0.211 -1.799
1.809 -0.514 -3.025
-0.209 -9.152 1.431
Tm Tb In
1 2 1
direct
0.500 0.500 0.500 Tm
0.000 0.000 0.230 Tb
0.000 0.000 0.770 Tb
0.500 0.500 0.000 In
```

No. 3
## TbTm2In4 (GGA-PBE)

Data for an optimized crystal structure of TbTm2In4.

Values from the calculation:
Magnetization, Bohr magnetons per cell: 0.000
DFT formation energy, kcal/mol of atoms: -7.2
Space group: No. 139
Calculated volume, A^3/atom: 28.59

Geometry as POSCAR:
```
TbTm2In4
1.0
-2.705 -4.135 -4.042
0.730 -2.847 5.666
-3.755 5.138 0.499
Tb Tm In
1 2 4
direct
0.000 0.000 0.000 Tb
0.500 0.500 0.000 Tm
0.500 0.000 0.500 Tm
0.500 0.000 0.000 In
0.000 0.500 0.000 In
0.000 0.000 0.500 In
0.500 0.500 0.500 In
```

No. 4
## TbTm2In (GGA-PBE)

Data for an optimized crystal structure of TbTm2In.

Values from the calculation:
Magnetization, Bohr magnetons per cell: 1.058
DFT formation energy, kcal/mol of atoms: -2.1
Space group: No. 225
Calculated volume, A^3/atom: 27.89
E above lowest polymorph, meV/atom: 168

Geometry as POSCAR:
```
TbTm2In
1.0
5.404 0.000 0.000
2.702 4.680 0.000
2.702 1.560 4.412
In Tm Tb
1 2 1
direct
0.000 0.000 0.000 In
0.250 0.250 0.250 Tm
0.750 0.750 0.750 Tm
0.500 0.500 0.500 Tb
```

No. 5
## Tb2TmIn4 (GGA-PBE)

Data for an optimized crystal structure of Tb2TmIn4.

Values from the calculation:
Magnetization, Bohr magnetons per cell: 0.000
DFT formation energy, kcal/mol of atoms: -7.3
Space group: No. 139
Calculated volume, A^3/atom: 28.53

Geometry as POSCAR:
```
Tb2TmIn4
1.0
-1.938 0.332 4.851
2.448 -4.446 1.282
5.595 5.876 -0.991
In Tb Tm
4 2 1
direct
0.887 0.387 0.774 In
0.387 0.887 0.774 In
0.113 0.613 0.226 In
0.613 0.113 0.226 In
0.250 0.250 0.500 Tb
0.750 0.750 0.500 Tb
0.000 0.000 0.000 Tm
```

No. 6
## Tb3Tm4In4 (GGA-PBE)

Data for an optimized crystal structure of Tb3Tm4In4.

Values from the calculation:
Magnetization, Bohr magnetons per cell: 0.000
DFT formation energy, kcal/mol of atoms: -5.9
Space group: No. 71
Calculated volume, A^3/atom: 28.62

Geometry as POSCAR:
```
Tb3Tm4In4
1.0
5.244 0.000 0.000
0.000 6.855 0.000
-2.622 -3.427 8.757
In Tb Tm
4 3 4
direct
0.500 0.219 0.000 In
0.174 0.674 0.348 In
0.500 0.781 0.000 In
0.826 0.326 0.652 In
0.100 0.100 0.201 Tb
0.900 0.900 0.799 Tb
0.000 0.500 0.000 Tb
0.680 0.919 0.360 Tm
0.320 0.559 0.640 Tm
0.680 0.441 0.360 Tm
0.320 0.081 0.640 Tm
```

No. 7
## Tb6Tm12In (GGA-PBE)

Data for an optimized crystal structure of Tb6Tm12In.

Values from the calculation:
Magnetization, Bohr magnetons per cell: 0.000
DFT formation energy, kcal/mol of atoms: 1.8
Space group: No. 148
Calculated volume, A^3/atom: 30.79
E above lowest polymorph, meV/atom: 0

Geometry as POSCAR:
```
Tb6Tm12In
1.0
8.298 0.679 0.813
-0.587 8.305 0.813
-0.587 -0.684 8.316
Tb Tm In
6 12 1
direct
0.698 0.258 0.093 Tb
0.742 0.907 0.302 Tb
0.258 0.093 0.698 Tb
0.093 0.698 0.258 Tb
0.302 0.742 0.907 Tb
0.907 0.302 0.742 Tb
0.190 0.360 0.011 Tm
0.223 0.460 0.565 Tm
0.460 0.565 0.223 Tm
0.640 0.989 0.810 Tm
0.360 0.011 0.190 Tm
0.810 0.640 0.989 Tm
0.565 0.223 0.460 Tm
0.540 0.435 0.777 Tm
0.435 0.777 0.540 Tm
0.989 0.810 0.640 Tm
0.777 0.540 0.435 Tm
0.011 0.190 0.360 Tm
0.000 0.000 0.000 In
```

No. 8
## Tb14TmIn (GGA-PBE)

Data for an optimized crystal structure of Tb14TmIn.

Values from the calculation:
Magnetization, Bohr magnetons per cell: 0.000
DFT formation energy, kcal/mol of atoms: -0.8
Space group: No. 123
Calculated volume, A^3/atom: 31.09

Geometry as POSCAR:
```
Tb14TmIn
1.0
-5.445 4.436 -0.602
-3.104 -4.425 -4.525
-4.581 -4.588 7.629
In Tb Tm
1 14 1
direct
0.875 0.125 0.000 In
0.125 0.875 0.247 Tb
0.875 0.125 0.500 Tb
0.125 0.875 0.753 Tb
0.375 0.125 0.500 Tb
0.875 0.625 0.500 Tb
0.625 0.375 0.753 Tb
0.625 0.875 0.753 Tb
0.625 0.875 0.247 Tb
0.875 0.625 0.000 Tb
0.375 0.125 0.000 Tb
0.125 0.375 0.247 Tb
0.375 0.625 0.500 Tb
0.625 0.375 0.247 Tb
0.125 0.375 0.753 Tb
0.375 0.625 0.000 Tm
```

No. 9
## Tb7TmIn2 (GGA-PBE)

Data for an optimized crystal structure of Tb7TmIn2.

Values from the calculation:
Magnetization, Bohr magnetons per cell: 0.005
DFT formation energy, kcal/mol of atoms: 8.0
Space group: No. 65
Calculated volume, A^3/atom: 38.10

Geometry as POSCAR:
```
Tb7TmIn2
1.0
5.331 0.000 0.000
0.000 9.048 -0.193
0.000 -4.254 7.988
In Tb Tm
2 7 1
direct
0.500 0.696 0.304 In
0.500 0.304 0.696 In
0.500 0.500 0.500 Tb
0.500 0.061 0.301 Tb
0.500 0.301 0.061 Tb
0.500 0.699 0.939 Tb
0.500 0.939 0.699 Tb
0.000 0.776 0.224 Tb
0.000 0.224 0.776 Tb
0.000 0.000 0.000 Tm
```

No. 10
## Tb2Tm7In2 (GGA-PBE)

Data for an optimized crystal structure of Tb2Tm7In2.

Values from the calculation:
Magnetization, Bohr magnetons per cell: 0.000
DFT formation energy, kcal/mol of atoms: -0.4
Space group: No. 12
Calculated volume, A^3/atom: 29.70

Geometry as POSCAR:
```
Tb2Tm7In2
1.0
-2.244 5.568 1.546
-1.449 -0.596 -7.380
-5.352 -4.834 2.217
In Tm Tb
2 7 2
direct
0.000 0.246 0.754 In
0.000 0.754 0.246 In
0.692 0.411 0.411 Tm
0.688 0.933 0.416 Tm
0.500 0.000 0.000 Tm
0.312 0.584 0.067 Tm
0.688 0.416 0.933 Tm
0.312 0.067 0.584 Tm
0.308 0.589 0.589 Tm
0.894 0.804 0.804 Tb
0.106 0.196 0.196 Tb
```

No. 11
## Tb8Tm6In (GGA-PBE)

Data for an optimized crystal structure of Tb8Tm6In.

Values from the calculation:
Magnetization, Bohr magnetons per cell: 0.000
DFT formation energy, kcal/mol of atoms: 2.1
Space group: No. 147
Calculated volume, A^3/atom: 31.35
E above lowest polymorph, meV/atom: 61

Geometry as POSCAR:
```
Tb8Tm6In
1.0
6.313 0.000 0.000
0.000 8.031 -4.637
0.000 0.000 9.274
Tb Tm In
8 6 1
direct
0.187 0.667 0.333 Tb
0.816 0.730 0.771 Tb
0.184 0.270 0.229 Tb
0.813 0.333 0.667 Tb
0.184 0.771 0.041 Tb
0.816 0.041 0.270 Tb
0.816 0.229 0.959 Tb
0.184 0.959 0.730 Tb
0.677 0.452 0.356 Tm
0.323 0.356 0.905 Tm
0.677 0.905 0.548 Tm
0.323 0.095 0.452 Tm
0.677 0.644 0.095 Tm
0.323 0.548 0.644 Tm
0.500 0.000 0.000 In
```

No. 12
## Tb5YTm2In (GGA-PBE)

Data for an optimized crystal structure of Tb5YTm2In.

Values from the calculation:
Magnetization, Bohr magnetons per cell: 0.000
DFT formation energy, kcal/mol of atoms: 0.0
Space group: No. 63
Calculated volume, A^3/atom: 31.39

Geometry as POSCAR:
```
Tb5YTm2In
1.0
-1.491 3.826 3.450
-6.759 -7.647 1.391
6.297 -4.220 7.401
Tb Tm In Y
10 4 2 2
direct
0.290 0.580 0.307 Tb
0.383 0.765 0.008 Tb
0.710 0.420 0.807 Tb
0.617 0.235 0.508 Tb
0.013 0.026 0.008 Tb
0.710 0.419 0.210 Tb
0.987 0.974 0.508 Tb
0.290 0.581 0.710 Tb
0.500 0.000 0.258 Tb
0.500 0.000 0.758 Tb
0.884 0.768 0.216 Tm
0.884 0.769 0.801 Tm
0.116 0.232 0.716 Tm
0.116 0.231 0.301 Tm
0.595 0.190 0.008 In
0.405 0.810 0.508 In
0.795 0.589 0.508 Y
0.205 0.411 0.008 Y
```

No. 13
## Tb2YTm5In (GGA-PBE)

Data for an optimized crystal structure of Tb2YTm5In.

Values from the calculation:
Magnetization, Bohr magnetons per cell: 0.000
DFT formation energy, kcal/mol of atoms: -0.1
Space group: No. 63
Calculated volume, A^3/atom: 30.55

Geometry as POSCAR:
```
Tb2YTm5In
1.0
5.294 0.000 0.000
-2.647 9.968 0.000
0.000 0.000 10.421
Tb In Tm Y
4 2 10 2
direct
0.884 0.768 0.217 Tb
0.116 0.233 0.299 Tb
0.116 0.232 0.717 Tb
0.884 0.767 0.799 Tb
0.405 0.809 0.508 In
0.595 0.191 0.008 In
0.989 0.977 0.508 Tm
0.710 0.420 0.209 Tm
0.384 0.769 0.008 Tm
0.011 0.023 0.008 Tm
0.290 0.580 0.709 Tm
0.616 0.231 0.508 Tm
0.500 0.000 0.758 Tm
0.710 0.420 0.808 Tm
0.290 0.580 0.308 Tm
0.500 0.000 0.258 Tm
0.792 0.583 0.508 Y
0.208 0.417 0.008 Y
```

No. 14
## Tb6Y2Tm3In (GGA-PBE)

Data for an optimized crystal structure of Tb6Y2Tm3In.

Values from the calculation:
Magnetization, Bohr magnetons per cell: 0.000
DFT formation energy, kcal/mol of atoms: -1.0
Space group: No. 12
Calculated volume, A^3/atom: 30.50

Geometry as POSCAR:
```
Tb6Y2Tm3In
1.0
-2.213 -3.058 4.759
6.004 0.565 -0.725
-1.437 10.508 4.789
In Tb Tm Y
1 6 3 2
direct
0.000 0.000 0.000 In
0.083 0.412 0.250 Tb
0.917 0.588 0.750 Tb
0.412 0.083 0.250 Tb
0.245 0.245 0.749 Tb
0.755 0.755 0.251 Tb
0.588 0.917 0.750 Tb
0.500 0.500 0.500 Tm
0.833 0.167 0.500 Tm
0.167 0.833 0.500 Tm
0.666 0.334 0.000 Y
0.334 0.666 0.000 Y
```

No. 15
## Tb6Y3Tm2In (GGA-PBE)

Data for an optimized crystal structure of Tb6Y3Tm2In.

Values from the calculation:
Magnetization, Bohr magnetons per cell: 0.000
DFT formation energy, kcal/mol of atoms: -0.8
Space group: No. 12
Calculated volume, A^3/atom: 30.79

Geometry as POSCAR:
```
Tb6Y3Tm2In
1.0
6.115 -0.004 -0.006
-3.060 5.294 -0.006
-1.016 -1.758 11.423
Tb Y In Tm
6 3 1 2
direct
0.752 0.752 0.246 Tb
0.590 0.919 0.755 Tb
0.248 0.248 0.754 Tb
0.410 0.081 0.245 Tb
0.081 0.410 0.245 Tb
0.919 0.590 0.755 Tb
0.833 0.167 0.500 Y
0.500 0.500 0.500 Y
0.167 0.833 0.500 Y
0.000 0.000 0.000 In
0.334 0.666 0.000 Tm
0.666 0.334 0.000 Tm
```

No. 16
## TbTm2Zn2In2 (GGA-PBE)

Data for an optimized crystal structure of TbTm2Zn2In2.

Values from the calculation:
Magnetization, Bohr magnetons per cell: 0.000
DFT formation energy, kcal/mol of atoms: -6.0
Space group: No. 166
Calculated volume, A^3/atom: 24.40

Geometry as POSCAR:
```
TbTm2Zn2In2
1.0
4.700 0.000 0.000
2.350 4.070 0.000
2.350 1.357 8.929
Tm Zn In Tb
2 2 2 1
direct
0.128 0.128 0.615 Tm
0.872 0.872 0.385 Tm
0.399 0.399 0.803 Zn
0.601 0.601 0.197 Zn
0.261 0.261 0.217 In
0.739 0.739 0.783 In
0.000 0.000 0.000 Tb
```

No. 17
## TbTmZnIn (GGA-PBE)

Data for an optimized crystal structure of TbTmZnIn.

Values from the calculation:
Magnetization, Bohr magnetons per cell: 0.000
DFT formation energy, kcal/mol of atoms: -9.0
Space group: No. 216
Calculated volume, A^3/atom: 24.50
E above lowest polymorph, meV/atom: 24

Geometry as POSCAR:
```
TbTmZnIn
1.0
5.175 0.000 0.000
2.587 4.481 0.000
2.587 1.494 4.225
Tb In Zn Tm
1 1 1 1
direct
0.250 0.250 0.250 Tb
0.500 0.500 0.500 In
0.000 0.000 0.000 Zn
0.750 0.750 0.750 Tm
```

No. 18
## TbTmZnIn (GGA-PBE)

Data for an optimized crystal structure of TbTmZnIn.

Values from the calculation:
Magnetization, Bohr magnetons per cell: 0.000
DFT formation energy, kcal/mol of atoms: -9.5
Space group: No. 99
Calculated volume, A^3/atom: 24.30
E above lowest polymorph, meV/atom: 0

Geometry as POSCAR:
```
TbTmZnIn
1.0
3.623 0.000 0.000
0.000 3.623 0.000
0.000 0.000 7.408
Zn Tb Tm In
1 1 1 1
direct
0.500 0.500 0.599 Zn
0.000 0.000 0.838 Tb
0.000 0.000 0.378 Tm
0.500 0.500 0.113 In
```

No. 19
## TbUIn (GGA-PBE)

Data for an optimized crystal structure of TbUIn.

Values from the calculation:
Magnetization, Bohr magnetons per cell: 3.206
DFT formation energy, kcal/mol of atoms: -2.3
Space group: No. 12
Calculated volume, A^3/atom: 26.29

Geometry as POSCAR:
```
TbUIn
1.0
-2.726 0.794 2.207
-3.451 -2.057 -3.522
2.516 -7.513 2.880
In Tb U
2 2 2
direct
0.422 0.181 0.844 In
0.578 0.819 0.156 In
0.089 0.313 0.178 Tb
0.911 0.687 0.822 Tb
0.757 0.170 0.514 U
0.243 0.830 0.486 U
```

No. 20
## TbU2In9 (GGA-PBE)

Data for an optimized crystal structure of TbU2In9.

Values from the calculation:
Magnetization, Bohr magnetons per cell: 5.381
DFT formation energy, kcal/mol of atoms: -3.3
Space group: No. 123
Calculated volume, A^3/atom: 24.92

Geometry as POSCAR:
```
TbU2In9
1.0
-2.913 3.331 1.380
-1.828 -2.894 3.125
9.330 4.264 9.407
In Tb U
9 1 2
direct
0.500 0.000 0.500 In
0.500 0.000 0.833 In
0.000 0.500 0.833 In
0.000 0.500 0.500 In
0.500 0.500 0.334 In
0.500 0.000 0.167 In
0.500 0.500 0.000 In
0.500 0.500 0.666 In
0.000 0.500 0.167 In
0.000 0.000 0.000 Tb
0.000 0.000 0.333 U
0.000 0.000 0.667 U
```